*A*
Density functional theory data (GGA-PBE) for a relaxed structure of Pa2IrPt.

Output
Total magnetic moment   0.02 μB/f.u.
Volume   21.17 A^3/atom

abc: 3.4803 3.4803 6.9906
angles: 90.00 90.00 90.00
Closest atoms and distances in Å follow each position.
Positions (direct):
Pa 0.0000 0.0000 0.7594  4 Ir 2.98, 4 Pt 3.06
Pa 0.0000 0.0000 0.2406  4 Ir 2.98, 4 Pt 3.06
Ir 0.5000 0.5000 0.0000  8 Pa 2.98
Pt 0.5000 0.5000 0.5000  8 Pa 3.06

***

*B*
Density functional theory data (GGA-PBE) for a relaxed structure of Pa2IrPt.

Output
Total magnetic moment   0.00 μB/f.u.
Volume   20.86 A^3/atom

abc: 3.0699 3.0699 10.3735
angles: 81.49 81.49 60.00
Closest atoms and distances in Å follow each position.
Positions (direct):
Ir 0.5000 0.5000 0.5000  6 Pa 2.97, 6 Ir 3.07
Pa 0.0890 0.0890 0.7330  1 Pt 2.73, 3 Ir 2.97
Pa 0.9110 0.9110 0.2670  1 Pt 2.73, 3 Ir 2.97
Pt 0.0000 0.0000 0.0000  2 Pa 2.73

***

*A* ends up most stable, edging out the next structure by 0.588 eV/atom.

***

*A*
Density functional theory data (GGA-PBE) for a relaxed structure of YPaIrPt.

Output
Total magnetic moment   0.00 μB/f.u.
Volume   21.18 A^3/atom

abc: 4.9299 4.9299 4.9299
angles: 60.00 60.00 60.00
Closest atoms and distances in Å follow each position.
Positions (direct):
Pt 0.5000 0.5000 0.5000  4 Y 3.02, 4 Pa 3.02
Ir 0.0000 0.0000 0.0000  4 Pa 3.02, 4 Y 3.02
Pa 0.2500 0.2500 0.2500  4 Pt 3.02, 4 Ir 3.02
Y 0.7500 0.7500 0.7500  4 Pt 3.02, 4 Ir 3.02

***

*B*
Density functional theory data (GGA-PBE) for a relaxed structure of YPaIrPt.

Output
Total magnetic moment   0.00 μB/f.u.
Volume   22.02 A^3/atom

abc: 3.7340 4.1916 5.9294
angles: 90.00 108.35 90.00
Closest atoms and distances in Å follow each position.
Positions (direct):
Pt 0.5867 0.5000 0.1735  4 Y 2.88, 2 Ir 2.97, 3 Pa 3.08-3.17
Y 0.1444 0.0000 0.2887  1 Ir 2.88, 4 Pt 2.88
Pa 0.8687 0.5000 0.7374  4 Ir 2.83, 2 Pt 3.08
Ir 0.4002 0.0000 0.8004  4 Pa 2.83, 1 Y 2.88, 2 Pt 2.97

***

*B* ends up most stable, edging out the next structure by 0.256 eV/atom.

***

*A*
Density functional theory data (GGA-PBE) for a relaxed structure of PuPaIrRh.

Output
Total magnetic moment   4.28 μB/f.u.
Volume   18.24 A^3/atom

abc: 4.6902 4.6902 4.6902
angles: 60.00 60.00 60.00
Closest atoms and distances in Å follow each position.
Positions (direct):
Pu 0.5000 0.5000 0.5000  4 Pa 2.87, 4 Rh 2.87
Ir 0.0000 0.0000 0.0000  4 Pa 2.87, 4 Rh 2.87
Pa 0.7500 0.7500 0.7500  4 Ir 2.87, 4 Pu 2.87
Rh 0.2500 0.2500 0.2500  4 Pu 2.87, 4 Ir 2.87

***

*B*
Density functional theory data (GGA-PBE) for a relaxed structure of PuPaIrRh.

Output
Total magnetic moment   5.36 μB/f.u.
Volume   21.29 A^3/atom

abc: 3.8807 4.0237 5.7890
angles: 90.00 109.58 90.00
Closest atoms and distances in Å follow each position.
Positions (direct):
Pu 0.8647 0.5000 0.7294  4 Rh 2.82, 1 Ir 2.92
Pa 0.1394 0.0000 0.2788  1 Rh 2.83, 4 Ir 2.83
Ir 0.5969 0.5000 0.1938  4 Pa 2.83, 1 Pu 2.92, 2 Rh 2.95
Rh 0.3990 0.0000 0.7980  4 Pu 2.82, 1 Pa 2.83, 2 Ir 2.95

***

*B* ends up most stable, edging out the next structure by 0.063 eV/atom.

***

*A*
Density functional theory data (GGA-PBE) for a relaxed structure of Pa2ReIr.

Output
Total magnetic moment   0.01 μB/f.u.
Volume   20.67 A^3/atom

abc: 4.8900 4.8900 4.8900
angles: 60.00 60.00 60.00
Closest atoms and distances in Å follow each position.
Positions (direct):
Pa 0.7500 0.7500 0.7500  4 Ir 2.99, 4 Re 2.99
Pa 0.2500 0.2500 0.2500  4 Re 2.99, 4 Ir 2.99
Re 0.0000 0.0000 0.0000  8 Pa 2.99
Ir 0.5000 0.5000 0.5000  8 Pa 2.99

***

*B*
Density functional theory data (GGA-PBE) for a relaxed structure of Pa2ReIr.

Output
Total magnetic moment   0.00 μB/f.u.
Volume   22.42 A^3/atom

abc: 3.9854 3.9854 6.9133
angles: 73.25 73.25 60.00
Closest atoms and distances in Å follow each position.
Positions (direct):
Pa 0.2522 0.2522 0.2434  3 Re 2.80, 3 Ir 2.84
Pa 0.7478 0.7478 0.7566  3 Re 2.80, 3 Ir 2.84
Re 0.0000 0.0000 0.0000  6 Pa 2.80
Ir 0.5000 0.5000 0.5000  6 Pa 2.84

***

*C*
Density functional theory data (GGA-PBE) for a relaxed structure of Pa2ReIr.

Output
Total magnetic moment   0.00 μB/f.u.
Volume   20.64 A^3/atom

abc: 3.4114 3.4114 7.0944
angles: 90.00 90.00 90.00
Closest atoms and distances in Å follow each position.
Positions (direct):
Re 0.5000 0.5000 0.5000  8 Pa 2.99
Ir 0.5000 0.5000 0.0000  8 Pa 3.00
Pa 0.0000 0.0000 0.7498  4 Re 2.99, 4 Ir 3.00
Pa 0.0000 0.0000 0.2502  4 Re 2.99, 4 Ir 3.00

***

*B* ends up most stable, edging out the next structure by 0.029 eV/atom.

***

*A*
Density functional theory data (GGA-PBE) for a relaxed structure of PaIrRh.

Output
Total magnetic moment   0.00 μB/f.u.
Volume   20.06 A^3/atom

abc: 3.5167 3.5167 10.0455
angles: 100.08 100.08 90.00
Closest atoms and distances in Å follow each position.
Positions (direct):
Rh 0.9338 0.9338 0.8676  1 Rh 2.58, 1 Ir 2.80, 4 Pa 2.81
Rh 0.0662 0.0662 0.1324  1 Rh 2.58, 1 Ir 2.80, 4 Pa 2.81
Pa 0.3663 0.3663 0.7326  4 Rh 2.81, 5 Ir 2.90-3.04
Pa 0.6337 0.6337 0.2674  4 Rh 2.81, 5 Ir 2.90-3.04
Ir 0.7899 0.7899 0.5798  1 Rh 2.80, 5 Pa 2.90-3.04, 4 Ir 2.93
Ir 0.2101 0.2101 0.4202  1 Rh 2.80, 5 Pa 2.90-3.04, 4 Ir 2.93

***

*B*
Density functional theory data (GGA-PBE) for a relaxed structure of PaIrRh.

Output
Total magnetic moment   0.00 μB/f.u.
Volume   18.51 A^3/atom

abc: 4.1916 5.7312 5.0761
angles: 90.00 114.39 90.00
Closest atoms and distances in Å follow each position.
Positions (direct):
Rh 0.6318 0.2500 0.7636  5 Pa 2.78-2.89, 4 Ir 2.82
Rh 0.3682 0.7500 0.2364  5 Pa 2.78-2.89, 4 Ir 2.82
Pa 0.6687 0.7500 0.8373  5 Rh 2.78-2.89, 4 Ir 2.98
Pa 0.3313 0.2500 0.1627  5 Rh 2.78-2.89, 4 Ir 2.98
Ir 0.0000 0.0000 0.5000  4 Rh 2.82, 2 Ir 2.87, 4 Pa 2.98
Ir 0.0000 0.5000 0.5000  4 Rh 2.82, 2 Ir 2.87, 4 Pa 2.98

***

*C*
Density functional theory data (GGA-PBE) for a relaxed structure of PaIrRh.

Output
Total magnetic moment   0.00 μB/f.u.
Volume   21.79 A^3/atom

abc: 4.5218 4.5218 4.5218
angles: 60.00 60.00 60.00
Closest atoms and distances in Å follow each position.
Positions (direct):
Ir 0.5000 0.5000 0.5000  4 Pa 2.77
Pa 0.2500 0.2500 0.2500  4 Rh 2.77, 4 Ir 2.77
Rh 0.0000 0.0000 0.0000  4 Pa 2.77

***

*D*
Density functional theory data (GGA-PBE) for a relaxed structure of PaIrRh.

Output
Total magnetic moment   0.00 μB/f.u.
Volume   18.64 A^3/atom

abc: 3.5729 3.5729 5.0572
angles: 110.69 110.69 90.00
Closest atoms and distances in Å follow each position.
Positions (direct):
Rh 0.3301 0.3301 0.6602  5 Ir 2.82-2.97, 5 Pa 2.91-2.92
Pa 0.6620 0.6620 0.3240  5 Ir 2.86-3.03, 5 Rh 2.91-2.92
Ir 0.0079 0.0079 0.0158  5 Rh 2.82-2.97, 5 Pa 2.86-3.03

***

*B* ends up most stable, edging out the next structure by 0.210 eV/atom.

***

*A*
Density functional theory data (GGA-PBE) for a relaxed structure of PaIr2Rh.

Output
Total magnetic moment   0.00 μB/f.u.
Volume   16.95 A^3/atom

abc: 4.0822 4.0756 4.0756
angles: 90.00 90.00 90.00
Closest atoms and distances in Å follow each position.
Positions (direct):
Pa 0.5000 0.0000 0.0000  4 Rh 2.88, 8 Ir 2.88
Ir 0.0000 0.0000 0.5000  4 Ir 2.88, 4 Pa 2.88, 4 Rh 2.88
Ir 0.0000 0.5000 0.0000  4 Ir 2.88, 4 Pa 2.88, 4 Rh 2.88
Rh 0.5000 0.5000 0.5000  4 Pa 2.88, 8 Ir 2.88

***

*B*
Density functional theory data (GGA-PBE) for a relaxed structure of PaIr2Rh.

Output
Total magnetic moment   0.00 μB/f.u.
Volume   18.93 A^3/atom

abc: 4.5520 4.5520 4.9711
angles: 62.75 62.75 60.00
Closest atoms and distances in Å follow each position.
Positions (direct):
Pa 0.0000 0.0000 0.0000  2 Ir 2.59
Ir 0.2049 0.2049 0.3852  1 Pa 2.59, 3 Rh 2.67, 3 Ir 2.80
Ir 0.7951 0.7951 0.6148  1 Pa 2.59, 3 Rh 2.67, 3 Ir 2.80
Rh 0.5000 0.5000 0.5000  6 Ir 2.67

***

*A* ends up most stable, edging out the next structure by 0.430 eV/atom.